The following is a DFT calculation (PBE) of crystalline Ce2TlIn at its relaxed geometry.

extended XYZ file:
```
8
Lattice="6.695 0.000 0.000 0.000 9.354 0.000 0.000 0.000 3.563" Properties=species:S:1:pos:R:3 pbc="T T T"
Ce 1.674 2.338 0.000
Ce 1.674 7.015 0.000
Ce 5.021 2.338 0.000
Ce 5.021 7.015 0.000
Tl 0.000 0.000 1.782
Tl 3.348 4.677 1.782
In 0.000 4.677 1.782
In 3.348 0.000 1.782
```

## Properties
* VASP energy: -4.546 eV/atom
* SG: Cmmm, No. 65
* crystal system: orthorhombic